Record 1
First-principles (PBE-GGA) data for Tc2PdF2 after structural relaxation, as listed in Alexandria.

a b c (Å): 7.2620 7.2620 2.5929
angles (deg): 90.00 90.00 90.00
Space group P4/mbm (No. 127)
Inequivalent atoms, fractional coordinates:
Tc 0.2140 0.2860 0.0000
Pd 0.0000 0.0000 0.5000
F 0.1114 0.6114 0.5000

* theoretical density: 8.27 g/cm3
* raw total energy: -5.844 eV per atom
* energy above the most stable polymorph in this dataset: 0 meV per atom

---

Record 2
First-principles (PBE-GGA) data for Sm7GeI12 after structural relaxation, as listed in Alexandria.

a b c (Å): 15.9950 15.9950 10.6039
angles (deg): 90.00 90.00 120.00
Space group R-3 (No. 148, hexagonal axes)
Inequivalent atoms, fractional coordinates:
Sm 0.0000 0.0000 0.0000
Sm 0.0463 0.8828 0.3486
Ge 0.0000 0.0000 0.5000
I 0.0222 0.4351 0.1656
I 0.0516 0.8679 0.8380

* theoretical density: 5.61 g/cm3
* raw total energy: -4.109 eV per atom

---

Record 3
First-principles (PBE-GGA) data for RbPmMnSe3 after structural relaxation, as listed in Alexandria.

a b c (Å): 9.4591 4.3193 10.1112
angles (deg): 90.00 107.93 90.00
Space group P2_1/m (No. 11)
Inequivalent atoms, fractional coordinates:
Rb 0.2060 0.2500 0.2345
Pm 0.3320 0.7500 0.8588
Mn 0.0860 0.2500 0.6080
Se 0.1143 0.2500 0.8587
Se 0.1956 0.7500 0.5364
Se 0.4639 0.7500 0.1588

* theoretical density: 4.41 g/cm3
* raw total energy: -5.518 eV per atom

---

- The lowest theoretical density belongs to which entry?
  RbPmMnSe3